Entry 1:
Tc2IrCl: optimized geometry, PBE-GGA.

Geometry as extended XYZ:
```
4
Lattice="1.412 0.815 8.941 -1.412 0.815 8.941 0.000 -1.630 8.941" Properties=species:S:1:pos:R:3 pbc="T T T"
Tc 0.000 0.000 0.000
Tc 0.000 0.000 6.745
Ir 0.000 0.000 19.983
Cl 0.000 0.000 13.783
```

Calculated values
distance to the lowest polymorph of the same formula	0.0	meV per atom
M_tot	0.0000	μB per atom
DOS at the Fermi energy	5.44	states/eV/f.u.

---

Entry 2:
Tc2IrCl: optimized geometry, PBE-GGA.

Geometry as extended XYZ:
```
4
Lattice="2.809 0.000 0.000 0.000 2.809 0.000 0.000 0.000 8.517" Properties=species:S:1:pos:R:3 pbc="T T T"
Tc 0.000 0.000 0.000
Tc 1.404 1.404 1.822
Ir 1.404 1.404 6.712
Cl 0.000 0.000 3.473
```

Calculated values
distance to the lowest polymorph of the same formula	60.1	meV per atom
M_tot	0.0000	μB per atom
DOS at the Fermi energy	3.40	states/eV/f.u.

---

Entry 3:
Tc2IrCl: optimized geometry, PBE-GGA.

Geometry as extended XYZ:
```
4
Lattice="4.595 0.000 0.000 0.000 4.595 0.000 0.000 0.000 2.806" Properties=species:S:1:pos:R:3 pbc="T T T"
Tc 0.000 2.298 0.000
Tc 2.298 0.000 0.000
Ir 0.000 0.000 1.403
Cl 2.298 2.298 1.403
```

Calculated values
distance to the lowest polymorph of the same formula	409.9	meV per atom
M_tot	0.0001	μB per atom
DOS at the Fermi energy	3.92	states/eV/f.u.

---

Entry 4:
Tc2IrCl: optimized geometry, PBE-GGA.

Geometry as extended XYZ:
```
4
Lattice="4.921 -1.411 0.000 4.921 1.411 0.000 -0.135 0.000 4.391" Properties=species:S:1:pos:R:3 pbc="T T T"
Tc 0.000 0.000 0.000
Tc 7.065 0.000 0.927
Ir 4.234 0.000 2.062
Cl 2.020 0.000 3.364
```

Calculated values
distance to the lowest polymorph of the same formula	250.2	meV per atom
M_tot	0.0000	μB per atom
DOS at the Fermi energy	3.37	states/eV/f.u.

---

Entry 5:
TcIr2Cl: optimized geometry, PBE-GGA.

Geometry as extended XYZ:
```
4
Lattice="0.000 3.134 3.134 3.134 0.000 3.134 3.134 3.134 0.000" Properties=species:S:1:pos:R:3 pbc="T T T"
Tc 0.000 0.000 0.000
Ir 1.567 1.567 1.567
Ir 4.701 4.701 4.701
Cl 3.134 3.134 3.134
```

Calculated values
distance to the lowest polymorph of the same formula	748.9	meV per atom
M_tot	0.0000	μB per atom
DOS at the Fermi energy	6.95	states/eV/f.u.

---

Entry 6:
TcIr2Cl: optimized geometry, PBE-GGA.

Geometry as extended XYZ:
```
4
Lattice="-1.368 2.174 5.379 1.368 -2.174 5.379 1.368 2.174 -5.379" Properties=species:S:1:pos:R:3 pbc="T T T"
Tc 0.000 0.000 0.000
Ir 1.368 0.000 2.332
Ir 0.000 2.174 3.046
Cl 0.000 0.000 5.379
```

Calculated values
distance to the lowest polymorph of the same formula	263.8	meV per atom
M_tot	0.1028	μB per atom
DOS at the Fermi energy	4.74	states/eV/f.u.

---

Entry 7:
TcIrCl: optimized geometry, PBE-GGA.

Geometry as extended XYZ:
```
3
Lattice="0.000 2.978 2.978 2.978 0.000 2.978 2.978 2.978 0.000" Properties=species:S:1:pos:R:3 pbc="T T T"
Tc 0.000 0.000 0.000
Ir 4.468 4.468 4.468
Cl 1.489 1.489 1.489
```

Calculated values
distance to the lowest polymorph of the same formula	464.9	meV per atom
M_tot	0.0000	μB per atom
DOS at the Fermi energy	3.33	states/eV/f.u.

---

Entry 8:
TcIrCl2: optimized geometry, PBE-GGA.

Geometry as extended XYZ:
```
4
Lattice="3.005 0.000 0.000 0.000 4.210 0.000 -0.340 0.000 5.052" Properties=species:S:1:pos:R:3 pbc="T T T"
Tc 0.000 0.000 0.000
Ir 1.332 0.000 2.526
Cl 0.639 2.105 1.245
Cl 2.025 2.105 3.807
```

Calculated values
distance to the lowest polymorph of the same formula	842.5	meV per atom
M_tot	0.2638	μB per atom
DOS at the Fermi energy	3.41	states/eV/f.u.